# TlRu2Pb | the Alexandria database | PBE | relaxed
data_TlRu2Pb
_cell_length_a 3.9777
_cell_length_b 3.9777
_cell_length_c 9.7207
_cell_angle_alpha 90.00
_cell_angle_beta 90.00
_cell_angle_gamma 90.00
_space_group_name_H-M_alt 'I -4 m 2'
_space_group_IT_number 119
_space_group_name_Hall 'I -4 -2'
loop_
_atom_site_label
_atom_site_type_symbol
_atom_site_fract_x
_atom_site_fract_y
_atom_site_fract_z
Tl1 Tl 0.0000 0.0000 0.0000
Ru1 Ru 0.0000 0.0000 0.5000
Ru2 Ru 0.0000 0.5000 0.2500
Pb1 Pb 0.0000 0.5000 0.7500
# - D(E_F) (states/eV/f.u.) = 5.47
# - magnetic moment (μB per atom) = 0.5592
# - ΔH_f (0 K) (kcal/mol of atoms) = 17.65
# - energy above the lowest structure with this stoichiometry (meV/atom) = 369

# TlRuPb2 | the Alexandria database | PBE | relaxed
data_TlRuPb2
_cell_length_a 4.6232
_cell_length_b 4.6232
_cell_length_c 9.0426
_cell_angle_alpha 90.00
_cell_angle_beta 90.00
_cell_angle_gamma 90.00
_space_group_name_H-M_alt 'I -4 m 2'
_space_group_IT_number 119
_space_group_name_Hall 'I -4 -2'
loop_
_atom_site_label
_atom_site_type_symbol
_atom_site_fract_x
_atom_site_fract_y
_atom_site_fract_z
Tl1 Tl 0.0000 0.0000 0.0000
Ru1 Ru 0.0000 0.5000 0.2500
Pb1 Pb 0.0000 0.0000 0.5000
Pb2 Pb 0.0000 0.5000 0.7500
# - D(E_F) (states/eV/f.u.) = 4.70
# - magnetic moment (μB per atom) = 0.0014
# - ΔH_f (0 K) (kcal/mol of atoms) = 14.65
# - energy above the lowest structure with this stoichiometry (meV/atom) = 416

# Tl3RuPb | the Alexandria database | PBE | relaxed
data_Tl3RuPb
_cell_length_a 5.3005
_cell_length_b 5.3005
_cell_length_c 5.3005
_cell_angle_alpha 90.00
_cell_angle_beta 90.00
_cell_angle_gamma 90.00
_space_group_name_H-M_alt 'P m -3 m'
_space_group_IT_number 221
_space_group_name_Hall '-P 4 2 3'
loop_
_atom_site_label
_atom_site_type_symbol
_atom_site_fract_x
_atom_site_fract_y
_atom_site_fract_z
Tl1 Tl 0.0000 0.0000 0.5000
Ru1 Ru 0.0000 0.0000 0.0000
Pb1 Pb 0.5000 0.5000 0.5000
# - D(E_F) (states/eV/f.u.) = 4.96
# - magnetic moment (μB per atom) = 0.0000
# - ΔH_f (0 K) (kcal/mol of atoms) = 8.94
# - energy above the lowest structure with this stoichiometry (meV/atom) = 0

# TlRuPb2 | the Alexandria database | PBE | relaxed
data_TlRuPb2
_cell_length_a 7.3013
_cell_length_b 7.3013
_cell_length_c 7.3013
_cell_angle_alpha 90.00
_cell_angle_beta 90.00
_cell_angle_gamma 90.00
_space_group_name_H-M_alt 'F m -3 m'
_space_group_IT_number 225
_space_group_name_Hall '-F 4 2 3'
loop_
_atom_site_label
_atom_site_type_symbol
_atom_site_fract_x
_atom_site_fract_y
_atom_site_fract_z
Tl1 Tl 0.0000 0.0000 0.0000
Ru1 Ru 0.0000 0.0000 0.5000
Pb1 Pb 0.2500 0.2500 0.2500
# - D(E_F) (states/eV/f.u.) = 5.52
# - magnetic moment (μB per atom) = 0.0000
# - ΔH_f (0 K) (kcal/mol of atoms) = 13.60
# - energy above the lowest structure with this stoichiometry (meV/atom) = 370

# TlRuPb2 | the Alexandria database | PBE | relaxed
data_TlRuPb2
_cell_length_a 3.3384
_cell_length_b 3.3384
_cell_length_c 8.8330
_cell_angle_alpha 90.00
_cell_angle_beta 90.00
_cell_angle_gamma 90.00
_space_group_name_H-M_alt 'P 4 m m'
_space_group_IT_number 99
loop_
_space_group_symop_operation_xyz
'x,y,z'
'-y,x,z'
'-x,-y,z'
'y,-x,z'
'-x,y,z'
'y,x,z'
'x,-y,z'
'-y,-x,z'
loop_
_atom_site_label
_atom_site_type_symbol
_atom_site_fract_x
_atom_site_fract_y
_atom_site_fract_z
Tl1 Tl 0.0000 0.0000 0.0000
Ru1 Ru 0.5000 0.5000 0.8074
Pb1 Pb 0.0000 0.0000 0.6185
Pb2 Pb 0.5000 0.5000 0.2971
# - D(E_F) (states/eV/f.u.) = 1.63
# - magnetic moment (μB per atom) = 0.0000
# - ΔH_f (0 K) (kcal/mol of atoms) = 7.79
# - energy above the lowest structure with this stoichiometry (meV/atom) = 118

# TlRu2Pb | the Alexandria database | PBE | relaxed
data_TlRu2Pb
_cell_length_a 3.2447
_cell_length_b 3.2447
_cell_length_c 25.2128
_cell_angle_alpha 90.00
_cell_angle_beta 90.00
_cell_angle_gamma 120.00
_space_group_name_H-M_alt 'R -3 m'
_space_group_IT_number 166
_space_group_name_Hall '-R 3 2"'
loop_
_atom_site_label
_atom_site_type_symbol
_atom_site_fract_x
_atom_site_fract_y
_atom_site_fract_z
Tl1 Tl 0.0000 0.0000 0.0000
Ru1 Ru 0.0000 0.0000 0.2490
Pb1 Pb 0.0000 0.0000 0.5000
# - D(E_F) (states/eV/f.u.) = 4.15
# - magnetic moment (μB per atom) = 0.2227
# - ΔH_f (0 K) (kcal/mol of atoms) = 15.15
# - energy above the lowest structure with this stoichiometry (meV/atom) = 260

# TlRu2Pb | the Alexandria database | PBE | relaxed
data_TlRu2Pb
_cell_length_a 3.3254
_cell_length_b 5.3796
_cell_length_c 8.7107
_cell_angle_alpha 90.00
_cell_angle_beta 90.00
_cell_angle_gamma 90.00
_space_group_name_H-M_alt 'C m m m'
_space_group_IT_number 65
_space_group_name_Hall '-C 2 2'
loop_
_atom_site_label
_atom_site_type_symbol
_atom_site_fract_x
_atom_site_fract_y
_atom_site_fract_z
Tl1 Tl 0.0000 0.0000 0.0000
Ru1 Ru 0.0000 0.5000 0.2535
Pb1 Pb 0.0000 0.0000 0.5000
# - D(E_F) (states/eV/f.u.) = 4.45
# - magnetic moment (μB per atom) = 0.0974
# - ΔH_f (0 K) (kcal/mol of atoms) = 17.21
# - energy above the lowest structure with this stoichiometry (meV/atom) = 350

# TlRuPb2 | the Alexandria database | PBE | relaxed
data_TlRuPb2
_cell_length_a 7.2930
_cell_length_b 7.2930
_cell_length_c 7.2930
_cell_angle_alpha 90.00
_cell_angle_beta 90.00
_cell_angle_gamma 90.00
_space_group_name_H-M_alt 'F -4 3 m'
_space_group_IT_number 216
_space_group_name_Hall 'F -4 2 3'
loop_
_atom_site_label
_atom_site_type_symbol
_atom_site_fract_x
_atom_site_fract_y
_atom_site_fract_z
Tl1 Tl 0.0000 0.0000 0.0000
Ru1 Ru 0.2500 0.2500 0.7500
Pb1 Pb 0.0000 0.0000 0.5000
Pb2 Pb 0.2500 0.2500 0.2500
# - D(E_F) (states/eV/f.u.) = 4.69
# - magnetic moment (μB per atom) = 0.0001
# - ΔH_f (0 K) (kcal/mol of atoms) = 14.72
# - energy above the lowest structure with this stoichiometry (meV/atom) = 418

# TlRuPb2 | the Alexandria database | PBE | relaxed
data_TlRuPb2
_cell_length_a 5.7581
_cell_length_b 5.7581
_cell_length_c 16.3623
_cell_angle_alpha 90.00
_cell_angle_beta 90.00
_cell_angle_gamma 90.00
_space_group_name_H-M_alt 'I -4 2 d'
_space_group_IT_number 122
_space_group_name_Hall 'I -4 2bw'
loop_
_atom_site_label
_atom_site_type_symbol
_atom_site_fract_x
_atom_site_fract_y
_atom_site_fract_z
Tl1 Tl 0.0000 0.0000 0.0000
Ru1 Ru 0.0000 0.0000 0.5000
Pb1 Pb 0.1443 0.2500 0.6250
# - D(E_F) (states/eV/f.u.) = 3.06
# - magnetic moment (μB per atom) = 0.0000
# - ΔH_f (0 K) (kcal/mol of atoms) = 15.24
# - energy above the lowest structure with this stoichiometry (meV/atom) = 441

# TlRu2Pb | the Alexandria database | PBE | relaxed
data_TlRu2Pb
_cell_length_a 6.8030
_cell_length_b 6.8030
_cell_length_c 6.8030
_cell_angle_alpha 90.00
_cell_angle_beta 90.00
_cell_angle_gamma 90.00
_space_group_name_H-M_alt 'F -4 3 m'
_space_group_IT_number 216
_space_group_name_Hall 'F -4 2 3'
loop_
_atom_site_label
_atom_site_type_symbol
_atom_site_fract_x
_atom_site_fract_y
_atom_site_fract_z
Tl1 Tl 0.0000 0.0000 0.0000
Ru1 Ru 0.0000 0.0000 0.5000
Ru2 Ru 0.2500 0.2500 0.2500
Pb1 Pb 0.2500 0.2500 0.7500
# - D(E_F) (states/eV/f.u.) = 4.70
# - magnetic moment (μB per atom) = 0.5052
# - ΔH_f (0 K) (kcal/mol of atoms) = 19.73
# - energy above the lowest structure with this stoichiometry (meV/atom) = 459

# TlRuPb2 | the Alexandria database | PBE | relaxed
data_TlRuPb2
_cell_length_a 3.6665
_cell_length_b 5.1067
_cell_length_c 5.1707
_cell_angle_alpha 90.00
_cell_angle_beta 90.00
_cell_angle_gamma 90.00
_space_group_name_H-M_alt 'P m m m'
_space_group_IT_number 47
loop_
_space_group_symop_operation_xyz
'x,y,z'
'-x,-y,-z'
'-x,-y,z'
'x,y,-z'
'x,-y,-z'
'-x,y,z'
'-x,y,-z'
'x,-y,z'
loop_
_atom_site_label
_atom_site_type_symbol
_atom_site_fract_x
_atom_site_fract_y
_atom_site_fract_z
Tl1 Tl 0.0000 0.0000 0.0000
Ru1 Ru 0.5000 0.0000 0.5000
Pb1 Pb 0.0000 0.5000 0.5000
Pb2 Pb 0.5000 0.5000 0.0000
# - D(E_F) (states/eV/f.u.) = 3.21
# - magnetic moment (μB per atom) = 0.0000
# - ΔH_f (0 K) (kcal/mol of atoms) = 14.99
# - energy above the lowest structure with this stoichiometry (meV/atom) = 430

# TlRuPb | the Alexandria database | PBE | relaxed
data_TlRuPb
_cell_length_a 3.2636
_cell_length_b 3.2636
_cell_length_c 13.1331
_cell_angle_alpha 90.00
_cell_angle_beta 90.00
_cell_angle_gamma 90.00
_space_group_name_H-M_alt 'I 4 m m'
_space_group_IT_number 107
_space_group_name_Hall 'I 4 -2'
loop_
_atom_site_label
_atom_site_type_symbol
_atom_site_fract_x
_atom_site_fract_y
_atom_site_fract_z
Tl1 Tl 0.0000 0.0000 0.0000
Ru1 Ru 0.0000 0.0000 0.3670
Pb1 Pb 0.0000 0.0000 0.7322
# - D(E_F) (states/eV/f.u.) = 2.82
# - magnetic moment (μB per atom) = 0.0000
# - ΔH_f (0 K) (kcal/mol of atoms) = 10.09
# - energy above the lowest structure with this stoichiometry (meV/atom) = 0

# TlRuPb2 | the Alexandria database | PBE | relaxed
data_TlRuPb2
_cell_length_a 3.2373
_cell_length_b 4.6023
_cell_length_c 14.0883
_cell_angle_alpha 90.00
_cell_angle_beta 90.00
_cell_angle_gamma 90.00
_space_group_name_H-M_alt 'I m m 2'
_space_group_IT_number 44
loop_
_space_group_symop_operation_xyz
'x,y,z'
'-x,-y,z'
'-x,y,z'
'x,-y,z'
'x+1/2,y+1/2,z+1/2'
'-x+1/2,-y+1/2,z+1/2'
'-x+1/2,y+1/2,z+1/2'
'x+1/2,-y+1/2,z+1/2'
loop_
_atom_site_label
_atom_site_type_symbol
_atom_site_fract_x
_atom_site_fract_y
_atom_site_fract_z
Tl1 Tl 0.0000 0.0000 0.0000
Ru1 Ru 0.0000 0.5000 0.6866
Pb1 Pb 0.0000 0.0000 0.3579
Pb2 Pb 0.0000 0.5000 0.1784
# - D(E_F) (states/eV/f.u.) = 2.92
# - magnetic moment (μB per atom) = 0.0000
# - ΔH_f (0 K) (kcal/mol of atoms) = 6.81
# - energy above the lowest structure with this stoichiometry (meV/atom) = 75

# TlRuPb2 | the Alexandria database | PBE | relaxed
data_TlRuPb2
_cell_length_a 4.7436
_cell_length_b 4.7670
_cell_length_c 8.8817
_cell_angle_alpha 90.00
_cell_angle_beta 90.00
_cell_angle_gamma 90.00
_space_group_name_H-M_alt 'C m m m'
_space_group_IT_number 65
_space_group_name_Hall '-C 2 2'
loop_
_atom_site_label
_atom_site_type_symbol
_atom_site_fract_x
_atom_site_fract_y
_atom_site_fract_z
Tl1 Tl 0.0000 0.0000 0.0000
Ru1 Ru 0.0000 0.0000 0.5000
Pb1 Pb 0.0000 0.5000 0.3086
# - D(E_F) (states/eV/f.u.) = 2.06
# - magnetic moment (μB per atom) = 0.0000
# - ΔH_f (0 K) (kcal/mol of atoms) = 5.07
# - energy above the lowest structure with this stoichiometry (meV/atom) = 0

# TlRuPb | the Alexandria database | PBE | relaxed
data_TlRuPb
_cell_length_a 6.6152
_cell_length_b 6.6152
_cell_length_c 6.6152
_cell_angle_alpha 90.00
_cell_angle_beta 90.00
_cell_angle_gamma 90.00
_space_group_name_H-M_alt 'F -4 3 m'
_space_group_IT_number 216
_space_group_name_Hall 'F -4 2 3'
loop_
_atom_site_label
_atom_site_type_symbol
_atom_site_fract_x
_atom_site_fract_y
_atom_site_fract_z
Tl1 Tl 0.0000 0.0000 0.0000
Ru1 Ru 0.2500 0.2500 0.2500
Pb1 Pb 0.0000 0.0000 0.5000
# - D(E_F) (states/eV/f.u.) = 1.93
# - magnetic moment (μB per atom) = 0.0000
# - ΔH_f (0 K) (kcal/mol of atoms) = 10.32
# - energy above the lowest structure with this stoichiometry (meV/atom) = 10

# TlRuPb2 | the Alexandria database | PBE | relaxed
data_TlRuPb2
_cell_length_a 3.6751
_cell_length_b 4.8156
_cell_length_c 5.7986
_cell_angle_alpha 90.00
_cell_angle_beta 108.42
_cell_angle_gamma 90.00
_space_group_name_H-M_alt 'P 1 m 1'
_space_group_IT_number 6
loop_
_space_group_symop_operation_xyz
'x,y,z'
'x,-y,z'
loop_
_atom_site_label
_atom_site_type_symbol
_atom_site_fract_x
_atom_site_fract_y
_atom_site_fract_z
Tl1 Tl 0.0000 0.0000 0.0000
Ru1 Ru 0.8627 0.5000 0.7207
Pb1 Pb 0.2766 0.0000 0.5506
Pb2 Pb 0.5853 0.5000 0.1701
# - D(E_F) (states/eV/f.u.) = 3.53
# - magnetic moment (μB per atom) = 0.0022
# - ΔH_f (0 K) (kcal/mol of atoms) = 11.19
# - energy above the lowest structure with this stoichiometry (meV/atom) = 266

# TlRuPb | the Alexandria database | PBE | relaxed
data_TlRuPb
_cell_length_a 3.3614
_cell_length_b 3.3614
_cell_length_c 7.0624
_cell_angle_alpha 90.00
_cell_angle_beta 90.00
_cell_angle_gamma 120.00
_space_group_name_H-M_alt 'P 3 m 1'
_space_group_IT_number 156
loop_
_space_group_symop_operation_xyz
'x,y,z'
'-y,x-y,z'
'-x+y,-x,z'
'-y,-x,z'
'-x+y,y,z'
'x,x-y,z'
loop_
_atom_site_label
_atom_site_type_symbol
_atom_site_fract_x
_atom_site_fract_y
_atom_site_fract_z
Tl1 Tl 0.0000 0.0000 0.0000
Ru1 Ru 0.3333 0.6667 0.7047
Pb1 Pb 0.6667 0.3333 0.4200
# - D(E_F) (states/eV/f.u.) = 2.44
# - magnetic moment (μB per atom) = 0.0001
# - ΔH_f (0 K) (kcal/mol of atoms) = 10.56
# - energy above the lowest structure with this stoichiometry (meV/atom) = 21

# TlRu2Pb | the Alexandria database | PBE | relaxed
data_TlRu2Pb
_cell_length_a 3.0719
_cell_length_b 4.5438
_cell_length_c 11.5405
_cell_angle_alpha 90.00
_cell_angle_beta 90.00
_cell_angle_gamma 90.00
_space_group_name_H-M_alt 'I m m 2'
_space_group_IT_number 44
loop_
_space_group_symop_operation_xyz
'x,y,z'
'-x,-y,z'
'-x,y,z'
'x,-y,z'
'x+1/2,y+1/2,z+1/2'
'-x+1/2,-y+1/2,z+1/2'
'-x+1/2,y+1/2,z+1/2'
'x+1/2,-y+1/2,z+1/2'
loop_
_atom_site_label
_atom_site_type_symbol
_atom_site_fract_x
_atom_site_fract_y
_atom_site_fract_z
Tl1 Tl 0.0000 0.0000 0.0000
Ru1 Ru 0.0000 0.0000 0.4958
Ru2 Ru 0.0000 0.5000 0.1826
Pb1 Pb 0.0000 0.5000 0.7721
# - D(E_F) (states/eV/f.u.) = 2.84
# - magnetic moment (μB per atom) = 0.0000
# - ΔH_f (0 K) (kcal/mol of atoms) = 13.20
# - energy above the lowest structure with this stoichiometry (meV/atom) = 176

# TlRu2Pb | the Alexandria database | PBE | relaxed
data_TlRu2Pb
_cell_length_a 3.3105
_cell_length_b 4.3859
_cell_length_c 5.3415
_cell_angle_alpha 90.00
_cell_angle_beta 90.00
_cell_angle_gamma 90.00
_space_group_name_H-M_alt 'P m m m'
_space_group_IT_number 47
loop_
_space_group_symop_operation_xyz
'x,y,z'
'-x,-y,-z'
'-x,-y,z'
'x,y,-z'
'x,-y,-z'
'-x,y,z'
'-x,y,-z'
'x,-y,z'
loop_
_atom_site_label
_atom_site_type_symbol
_atom_site_fract_x
_atom_site_fract_y
_atom_site_fract_z
Tl1 Tl 0.0000 0.0000 0.0000
Ru1 Ru 0.0000 0.5000 0.5000
Ru2 Ru 0.5000 0.5000 0.0000
Pb1 Pb 0.5000 0.0000 0.5000
# - D(E_F) (states/eV/f.u.) = 4.73
# - magnetic moment (μB per atom) = 0.0704
# - ΔH_f (0 K) (kcal/mol of atoms) = 17.19
# - energy above the lowest structure with this stoichiometry (meV/atom) = 349

# TlRuPb2 | the Alexandria database | PBE | relaxed
data_TlRuPb2
_cell_length_a 3.4271
_cell_length_b 3.4271
_cell_length_c 30.4428
_cell_angle_alpha 90.00
_cell_angle_beta 90.00
_cell_angle_gamma 120.00
_space_group_name_H-M_alt 'R -3 m'
_space_group_IT_number 166
_space_group_name_Hall '-R 3 2"'
loop_
_atom_site_label
_atom_site_type_symbol
_atom_site_fract_x
_atom_site_fract_y
_atom_site_fract_z
Tl1 Tl 0.0000 0.0000 0.0000
Ru1 Ru 0.0000 0.0000 0.5000
Pb1 Pb 0.0000 0.0000 0.2327
# - D(E_F) (states/eV/f.u.) = 3.02
# - magnetic moment (μB per atom) = 0.0000
# - ΔH_f (0 K) (kcal/mol of atoms) = 6.73
# - energy above the lowest structure with this stoichiometry (meV/atom) = 72